[1]
VASP calculation (PBE) on a relaxed Dy3YPd3 crystal.

Summary:
* symmetry: C2/m (12)
* E_form: -696 meV/atom
* size of the total moment: 0.0 Bohr magnetons per cell
* Fermi-level density of states: 0.731 states/eV/atom

Geometry as POSCAR:
```
Dy3YPd3
1.0
4.603 -5.231 0.000
4.603 5.231 0.000
-0.262 0.000 7.089
Dy Y Pd
6 2 6
Direct
0.177 0.823 0.000
0.250 0.750 0.500
0.347 0.347 0.133
0.653 0.653 0.867
0.750 0.250 0.500
0.823 0.177 0.000
0.264 0.264 0.622
0.736 0.736 0.378
0.012 0.504 0.778
0.061 0.061 0.306
0.496 0.988 0.222
0.504 0.012 0.778
0.939 0.939 0.694
0.988 0.496 0.222
```

=====

[2]
VASP calculation (PBE) on a relaxed Dy3YPd6 crystal.

Summary:
* symmetry: P2_1/m (11)
* E_form: -856 meV/atom
* size of the total moment: 0.0 Bohr magnetons per cell
* Fermi-level density of states: 0.497 states/eV/atom

Geometry as POSCAR:
```
Dy3YPd6
1.0
8.103 0.000 0.000
0.000 4.617 0.000
-2.702 0.000 11.017
Dy Y Pd
6 2 12
Direct
0.015 0.250 0.122
0.138 0.250 0.687
0.310 0.750 0.507
0.690 0.250 0.493
0.862 0.750 0.313
0.985 0.750 0.878
0.405 0.750 0.092
0.595 0.250 0.908
0.061 0.250 0.418
0.167 0.750 0.248
0.231 0.250 0.943
0.351 0.750 0.798
0.354 0.250 0.315
0.458 0.250 0.653
0.542 0.750 0.347
0.646 0.750 0.685
0.649 0.250 0.202
0.769 0.750 0.057
0.833 0.250 0.752
0.939 0.750 0.582
```